Entry 1:
Here is a relaxed structure of CeTm2Tl from Alexandria. Energies are from PBE.

```
4
Lattice="4.8840 0.0000 0.0000 0.0000 4.8840 0.0000 0.0000 0.0000 4.6630" Properties=species:S:1:pos:R:3 pbc="T T T"
Ce 0.0000 0.0000 0.0000
Tm 0.0000 2.4420 2.3315
Tm 2.4420 0.0000 2.3315
Tl 2.4420 2.4420 0.0000
```

E above lowest polymorph   0.010 eV per atom
DFT formation energy   -0.12 eV/atom
SG   P4/mmm (123)

---

Entry 2:
Here is a relaxed structure of NaSr3Pt from Alexandria. Energies are from PBE.

```
10
Lattice="-3.5268 3.5268 9.6311 3.5268 -3.5268 9.6311 3.5268 3.5268 -9.6311" Properties=species:S:1:pos:R:3 pbc="T T T"
Na 0.0000 0.0000 3.5972
Na 0.0000 0.0000 15.6650
Sr 3.5268 0.0000 0.8760
Sr 3.5268 1.7971 -2.5618
Sr 3.5268 0.0000 8.7551
Sr 0.0000 1.7297 7.0693
Sr 1.7971 3.5268 2.5618
Sr 1.7297 0.0000 12.1928
Pt 0.0000 0.0000 9.6311
Pt 0.0000 3.5268 4.8155
```

E above lowest polymorph   0.361 eV per atom
DFT formation energy   -0.08 eV/atom
SG   I-4m2 (119)

---

Entry 3:
Here is a relaxed structure of Sm6AlZn2 from Alexandria. Energies are from PBE.

```
18
Lattice="-4.9896 5.0357 5.0509 4.9896 -5.0357 5.0509 4.9896 5.0357 -5.0509" Properties=species:S:1:pos:R:3 pbc="T T T"
Sm 4.9896 3.2372 -2.7938
Sm 2.9782 2.4890 0.0000
Sm 7.0010 2.4890 0.0000
Sm 3.1930 0.0000 2.6776
Sm 6.7862 0.0000 2.6776
Sm 0.0000 1.7985 2.2571
Sm 4.9896 3.2372 2.7938
Sm -1.7966 5.0357 2.3733
Sm 1.7966 5.0357 2.3733
Sm -2.0114 2.5467 5.0509
Sm 2.0114 2.5467 5.0509
Sm 0.0000 1.7985 7.8448
Al 4.9896 0.0000 0.0000
Al 0.0000 0.0000 5.0509
Zn 1.3344 0.0000 0.0000
Zn 8.6448 0.0000 0.0000
Zn 0.0000 3.7646 0.0000
Zn 0.0000 6.3069 0.0000
```

E above lowest polymorph   0.000 eV per atom
DFT formation energy   -0.19 eV/atom
SG   Immm (71)

---

Entry 4:
Here is a relaxed structure of Cd2Sn2H from Alexandria. Energies are from PBE.

```
10
Lattice="6.0586 0.0000 0.0000 0.0000 6.0586 0.0000 0.0000 0.0000 6.0117" Properties=species:S:1:pos:R:3 pbc="T T T"
Cd 1.1134 1.9159 0.0000
Cd 1.9159 4.9452 0.0000
Cd 4.1427 1.1134 0.0000
Cd 4.9452 4.1427 0.0000
Sn 1.3548 1.6745 3.0058
Sn 1.6745 4.7038 3.0058
Sn 4.3841 1.3548 3.0058
Sn 4.7038 4.3841 3.0058
H 0.0000 0.0000 0.0000
H 3.0293 3.0293 0.0000
```

SG   P4/mbm (127)

---

Entry 5:
Here is a relaxed structure of YAs2Ru from Alexandria. Energies are from PBE.

```
8
Lattice="4.2679 0.0000 0.0000 0.0000 4.8471 0.0000 0.0000 0.0000 7.0108" Properties=species:S:1:pos:R:3 pbc="T T T"
Y 0.0000 0.0000 0.0000
Y 2.1339 2.4236 0.0000
As 0.0000 2.4236 2.0121
As 0.0000 2.4236 4.9987
As 2.1339 0.0000 2.0121
As 2.1339 0.0000 4.9987
Ru 0.0000 0.0000 3.5054
Ru 2.1339 2.4236 3.5054
```

E above lowest polymorph   0.350 eV per atom
DFT formation energy   -0.38 eV/atom
SG   Cmmm (65)

---

Entry 6:
Here is a relaxed structure of NbCo4Sb2 from Alexandria. Energies are from PBE.

```
14
Lattice="4.5047 0.0000 0.0000 0.0000 4.5047 0.0000 0.0000 0.0000 13.0182" Properties=species:S:1:pos:R:3 pbc="T T T"
Nb 0.0000 0.0000 0.0000
Nb 2.2523 2.2523 6.5091
Co 0.0000 0.0000 2.3884
Co 0.0000 0.0000 10.6298
Co 0.0000 2.2523 0.0000
Co 0.0000 2.2523 6.5091
Co 2.2523 0.0000 0.0000
Co 2.2523 0.0000 6.5091
Co 2.2523 2.2523 4.1207
Co 2.2523 2.2523 8.8975
Sb 0.0000 0.0000 4.9041
Sb 0.0000 0.0000 8.1141
Sb 2.2523 2.2523 1.6050
Sb 2.2523 2.2523 11.4132
```

Formation energy (no corrections)   84.1 kJ per mole of atoms
SG   I4/mmm (139)

---

Entry 7:
Here is a relaxed structure of SrTlAs2Pd5 from Alexandria. Energies are from PBE.

```
9
Lattice="4.1665 0.0000 0.0000 0.0000 4.1665 0.0000 0.0000 0.0000 11.4270" Properties=species:S:1:pos:R:3 pbc="T T T"
Sr 0.0000 0.0000 0.0000
Tl 0.0000 0.0000 5.7135
As 2.0832 2.0832 2.3985
As 2.0832 2.0832 9.0285
Pd 0.0000 2.0832 3.7191
Pd 0.0000 2.0832 7.7079
Pd 2.0832 0.0000 3.7191
Pd 2.0832 0.0000 7.7079
Pd 2.0832 2.0832 0.0000
```

DFT formation energy   -0.40 eV/atom
SG   P4/mmm (123)

---

Entry 8:
Here is a relaxed structure of LiAlNi2 from Alexandria. Energies are from PBE.

```
4
Lattice="3.8849 0.0000 0.0000 0.0000 3.8849 0.0000 0.0000 0.0000 3.0671" Properties=species:S:1:pos:R:3 pbc="T T T"
Li 0.0000 0.0000 0.0000
Al 1.9424 1.9424 0.0000
Ni 0.0000 1.9424 1.5336
Ni 1.9424 0.0000 1.5336
```

DFT formation energy   -0.36 eV/atom
SG   P4/mmm (123)

---

Entry 9:
Here is a relaxed structure of Pa4Co12B3Pt from Alexandria. Energies are from PBE.

```
20
Lattice="-4.0899 4.0899 4.0899 4.0899 -4.0899 4.0899 4.0899 4.0899 -4.0899" Properties=species:S:1:pos:R:3 pbc="T T T"
Pa 2.0450 2.0450 -2.0450
Pa 2.0450 -2.0450 2.0450
Pa -2.0450 2.0450 2.0450
Pa 2.0450 2.0450 2.0450
Co 2.3144 0.0000 0.0000
Co 5.8654 0.0000 0.0000
Co 4.0899 2.0450 0.0000
Co 4.0899 0.0000 2.0450
Co 0.0000 2.3144 0.0000
Co 0.0000 0.0000 2.3144
Co 2.0450 4.0899 0.0000
Co 2.0450 0.0000 4.0899
Co 0.0000 5.8654 0.0000
Co 0.0000 0.0000 5.8654
Co 0.0000 4.0899 2.0450
Co 0.0000 2.0450 4.0899
B 4.0899 0.0000 0.0000
B 0.0000 4.0899 0.0000
B 0.0000 0.0000 4.0899
Pt 0.0000 0.0000 0.0000
```

DFT formation energy   -0.18 eV/atom
SG   Im-3m (229)

---

Entry 10:
Here is a relaxed structure of YCrCCl2 from Alexandria. Energies are from PBE.

```
5
Lattice="5.3038 0.0000 0.0000 0.0000 5.3038 0.0000 0.0000 0.0000 4.6916" Properties=species:S:1:pos:R:3 pbc="T T T"
Y 0.0000 0.0000 0.0000
Cr 2.6519 2.6519 2.3458
C 0.0000 0.0000 2.3458
Cl 0.0000 2.6519 0.0000
Cl 2.6519 0.0000 0.0000
```

Formation energy (no corrections)   29.7 kJ per mole of atoms
SG   P4/mmm (123)

---

Entry 11:
Here is a relaxed structure of Ca2TbZrAs4 from Alexandria. Energies are from PBE.

```
8
Lattice="7.0736 0.0000 0.0000 0.0000 4.0591 0.0000 -2.3274 0.0000 6.8795" Properties=species:S:1:pos:R:3 pbc="T T T"
Ca 0.0000 0.0000 0.0000
Ca 3.5368 2.0296 0.0000
Tb -1.1637 2.0296 3.4397
Zr 2.3731 0.0000 3.4397
As 0.1072 0.0000 5.0494
As 1.2638 2.0296 1.8691
As 3.4824 2.0296 5.0103
As 4.6390 0.0000 1.8301
```

DFT formation energy   -1.20 eV/atom
SG   P2/m (10)

---

Entry 12:
Here is a relaxed structure of MoHOs2W from Alexandria. Energies are from PBE.

```
5
Lattice="3.9517 0.0000 0.0000 0.0000 3.9517 0.0000 0.0000 0.0000 4.0134" Properties=species:S:1:pos:R:3 pbc="T T T"
Mo 0.0000 0.0000 0.0000
H 1.9758 1.9758 2.0067
Os 0.0000 1.9758 2.0067
Os 1.9758 0.0000 2.0067
W 1.9758 1.9758 0.0000
```

E above lowest polymorph   0.026 eV per atom
SG   P4/mmm (123)

---

Entry 13:
Here is a relaxed structure of TcPdN3 from Alexandria. Energies are from PBE.

```
5
Lattice="3.8780 0.0000 0.0000 0.0000 3.8780 0.0000 0.0000 0.0000 3.8780" Properties=species:S:1:pos:R:3 pbc="T T T"
Tc 0.0000 0.0000 0.0000
Pd 1.9390 1.9390 1.9390
N 0.0000 0.0000 1.9390
N 0.0000 1.9390 0.0000
N 1.9390 0.0000 0.0000
```

Formation energy (no corrections)   110.5 kJ per mole of atoms
SG   Pm-3m (221)

---

Entry 14:
Here is a relaxed structure of Y4Mg5 from Alexandria. Energies are from PBE.

```
9
Lattice="-4.9858 4.9858 2.4997 4.9858 -4.9858 2.4997 4.9858 4.9858 -2.4997" Properties=species:S:1:pos:R:3 pbc="T T T"
Y 3.2288 0.0000 0.0000
Y 6.7428 0.0000 0.0000
Y 0.0000 3.2288 0.0000
Y 0.0000 6.7428 0.0000
Mg 0.0000 0.0000 0.0000
Mg 3.3751 3.3751 0.0000
Mg 1.6107 -1.6107 2.4997
Mg -1.6107 1.6107 2.4997
Mg 1.6107 1.6107 2.4997
```

E above lowest polymorph   0.000 eV per atom
DFT formation energy   -0.05 eV/atom
SG   I4/mmm (139)

---

Entry 15:
Here is a relaxed structure of MnAsIrSe2 from Alexandria. Energies are from PBE.

```
5
Lattice="4.6039 0.0000 0.0000 0.0000 4.6039 0.0000 0.0000 0.0000 4.5225" Properties=species:S:1:pos:R:3 pbc="T T T"
Mn 0.0000 0.0000 0.0000
As 0.0000 0.0000 2.2612
Ir 2.3020 2.3020 2.2612
Se 0.0000 2.3020 0.0000
Se 2.3020 0.0000 0.0000
```

E above lowest polymorph   0.000 eV per atom
Formation energy (no corrections)   82.0 kJ per mole of atoms
SG   P4/mmm (123)

---

Entry 16:
Here is a relaxed structure of Ce3Bi4Pd3 from Alexandria. Energies are from PBE.

```
20
Lattice="-5.0255 5.0255 5.0255 5.0255 -5.0255 5.0255 5.0255 5.0255 -5.0255" Properties=species:S:1:pos:R:3 pbc="T T T"
Ce 5.0255 -2.5128 3.7691
Ce 3.7691 5.0255 -2.5128
Ce 5.0255 2.5128 1.2564
Ce 2.5128 1.2564 5.0255
Ce 1.2564 5.0255 2.5128
Ce -2.5128 3.7691 5.0255
Bi 3.3809 1.6446 -1.6446
Bi 5.8937 -0.8681 0.8681
Bi 1.6446 -1.6446 3.3809
Bi 1.6446 1.6446 1.6446
Bi -1.6446 3.3809 1.6446
Bi 0.8681 5.8937 -0.8681
Bi -0.8681 0.8681 5.8937
Bi 4.1574 4.1574 4.1574
Pd 7.5383 1.2564 0.0000
Pd 3.7691 0.0000 2.5128
Pd 2.5128 3.7691 0.0000
Pd 0.0000 2.5128 3.7691
Pd 1.2564 0.0000 7.5383
Pd 0.0000 7.5383 1.2564
```

DFT formation energy   -0.79 eV/atom
SG   I-43d (220)

---

Entry 17:
Here is a relaxed structure of CsOsC2 from Alexandria. Energies are from PBE.

```
8
Lattice="0.0000 4.3844 4.3844 4.3844 0.0000 4.3844 4.3844 4.3844 0.0000" Properties=species:S:1:pos:R:3 pbc="T T T"
Cs 1.0961 1.0961 1.0961
Cs 7.6728 7.6728 7.6728
Os 3.2883 3.2883 3.2883
Os 5.4806 5.4806 5.4806
C 4.3844 2.1922 2.1922
C 2.1922 4.3844 2.1922
C 2.1922 2.1922 4.3844
C 4.3844 4.3844 4.3844
```

DFT formation energy   0.49 eV/atom
SG   Fd-3m (227)

---

Entry 18:
Here is a relaxed structure of NdYPdRh from Alexandria. Energies are from PBE.

```
16
Lattice="7.0631 0.0000 0.0000 0.0000 7.0631 0.0000 0.0000 0.0000 7.0631" Properties=species:S:1:pos:R:3 pbc="T T T"
Nd 0.0000 0.0000 0.0000
Nd 0.0000 3.5316 3.5316
Nd 3.5316 0.0000 3.5316
Nd 3.5316 3.5316 0.0000
Y 0.0000 0.0000 3.5316
Y 0.0000 3.5316 0.0000
Y 3.5316 0.0000 0.0000
Y 3.5316 3.5316 3.5316
Pd 1.7658 1.7658 1.7658
Pd 1.7658 5.2973 5.2973
Pd 5.2973 1.7658 5.2973
Pd 5.2973 5.2973 1.7658
Rh 1.7658 1.7658 5.2973
Rh 1.7658 5.2973 1.7658
Rh 5.2973 1.7658 1.7658
Rh 5.2973 5.2973 5.2973
```

E above lowest polymorph   0.031 eV per atom
DFT formation energy   -0.77 eV/atom
SG   F-43m (216)

---

Entry 19:
Here is a relaxed structure of TlNiOs2 from Alexandria. Energies are from PBE.

```
8
Lattice="4.0391 0.0000 0.0000 0.0000 4.0391 0.0000 0.0000 0.0000 7.5294" Properties=species:S:1:pos:R:3 pbc="T T T"
Tl 0.0000 0.0000 0.0000
Tl 2.0195 2.0195 3.7647
Ni 0.0000 2.0195 5.6471
Ni 2.0195 0.0000 1.8824
Os 0.0000 0.0000 3.7647
Os 0.0000 2.0195 1.8824
Os 2.0195 0.0000 5.6471
Os 2.0195 2.0195 0.0000
```

E above lowest polymorph   0.289 eV per atom
DFT formation energy   0.76 eV/atom
SG   I-4m2 (119)

---

Entry 20:
Here is a relaxed structure of Cs2SrZnF6 from Alexandria. Energies are from PBE.

```
10
Lattice="0.0000 4.5322 4.5322 4.5322 0.0000 4.5322 4.5322 4.5322 0.0000" Properties=species:S:1:pos:R:3 pbc="T T T"
Cs 2.2661 2.2661 2.2661
Cs 6.7983 6.7983 6.7983
Sr 0.0000 0.0000 0.0000
Zn 4.5322 4.5322 4.5322
F 4.5322 4.5322 2.4291
F 4.5322 2.4291 4.5322
F 6.6353 4.5322 4.5322
F 2.4291 4.5322 4.5322
F 4.5322 6.6353 4.5322
F 4.5322 4.5322 6.6353
```

E above lowest polymorph   0.000 eV per atom
Formation energy (no corrections)   -287.7 kJ per mole of atoms
SG   Fm-3m (225)

---

Number 1: raw total energy -4.43 eV per atom. Number 2: raw total energy -2.56 eV per atom. Number 3: raw total energy -4.04 eV per atom. Number 4: raw total energy -2.41 eV per atom. Number 5: raw total energy -6.64 eV per atom. Number 6: raw total energy -5.81 eV per atom. Number 7: raw total energy -4.77 eV per atom. Number 8: raw total energy -4.66 eV per atom. Number 9: raw total energy -7.64 eV per atom. Number 10: raw total energy -5.49 eV per atom. Number 11: raw total energy -5.67 eV per atom. Number 12: raw total energy -9.79 eV per atom. Number 13: raw total energy -6.96 eV per atom. Number 14: raw total energy -3.81 eV per atom. Number 15: raw total energy -5.08 eV per atom. Number 16: raw total energy -5.68 eV per atom. Number 17: raw total energy -7.14 eV per atom. Number 18: raw total energy -6.71 eV per atom. Number 19: raw total energy -6.89 eV per atom. Number 20: raw total energy -4.57 eV per atom.